Material: HfZn2PtPb
Method: DFT, GGA-PBE
State: optimized geometry

Properties
Energy of formation = 438 meV/atom

Lattice parameters (Å, degrees): 4.7334 4.7334 5.3237 90.00 90.00 90.00
Closest atoms and distances in Å follow each position.
Space group P4/mmm (No. 123)
Asymmetric unit:
Hf (0.0000, 0.0000, 0.0000) x1  4 Pb 3.35, 8 Zn 3.56
Zn (0.0000, 0.5000, 0.5000) x2  2 Pt 2.37
Pt (0.5000, 0.5000, 0.5000) x1  4 Zn 2.37
Pb (0.5000, 0.5000, 0.0000) x1  2 Pt 2.66

***

Material: Pu2HfPb
Method: DFT, GGA-PBE
State: optimized geometry

Properties
Relative energy among the computed polymorphs = 0.000 eV per atom
Energy of formation = -8 meV/atom

Lattice parameters (Å, degrees): 4.4515 4.4515 4.9709 90.00 90.00 90.00
Closest atoms and distances in Å follow each position.
Space group P4/mmm (No. 123)
Asymmetric unit:
Pu (0.0000, 0.5000, 0.0000) x2  4 Pu 3.15, 4 Pb 3.34, 4 Hf 3.34
Hf (0.0000, 0.0000, 0.5000) x1  4 Pb 3.15, 8 Pu 3.34
Pb (0.5000, 0.5000, 0.5000) x1  4 Hf 3.15, 8 Pu 3.34

***

Material: PuHf2Pb
Method: DFT, GGA-PBE
State: optimized geometry

Properties
Relative energy among the computed polymorphs = 0.099 eV per atom
Energy of formation = 126 meV/atom

Lattice parameters (Å, degrees): 3.3087 3.3087 30.5547 90.00 90.00 120.00
Closest atoms and distances in Å follow each position.
Space group R-3m (No. 166, hexagonal axes)
Asymmetric unit:
Pu (0.0000, 0.0000, 0.0000) x3  6 Hf 3.17, 6 Pu 3.31
Hf (0.0000, 0.0000, 0.2506) x6  3 Pu 3.17, 3 Pb 3.20, 6 Hf 3.31
Pb (0.0000, 0.0000, 0.5000) x3  6 Hf 3.20, 6 Pb 3.31

***

Material: PuHf2Pb
Method: DFT, GGA-PBE
State: optimized geometry

Properties
Relative energy among the computed polymorphs = 0.000 eV per atom
Energy of formation = 26 meV/atom

Lattice parameters (Å, degrees): 4.6461 4.6461 4.3355 90.00 90.00 90.00
Closest atoms and distances in Å follow each position.
Space group P4/mmm (No. 123)
Asymmetric unit:
Pu (0.0000, 0.0000, 0.0000) x1  8 Hf 3.18, 4 Pb 3.29
Hf (0.0000, 0.5000, 0.5000) x2  4 Pb 3.18, 4 Pu 3.18, 4 Hf 3.29
Pb (0.5000, 0.5000, 0.0000) x1  8 Hf 3.18, 4 Pu 3.29

***

Material: RbHf2Pb2
Method: DFT, GGA-PBE
State: optimized geometry

Properties
Relative energy among the computed polymorphs = 0.000 eV per atom
Energy of formation = 207 meV/atom

Lattice parameters (Å, degrees): 9.2424 9.2424 3.2519 90.00 90.00 90.00
Closest atoms and distances in Å follow each position.
Space group P4/mbm (No. 127)
Asymmetric unit:
Rb (0.0000, 0.0000, 0.0000) x2  2 Rb 3.25
Hf (0.1167, 0.3833, 0.0000) x4  3 Hf 3.05-3.25, 6 Pb 3.16-3.21
Pb (0.1712, 0.6712, 0.5000) x4  6 Hf 3.16-3.21, 2 Pb 3.25

***

Material: RbHfPb2
Method: DFT, GGA-PBE
State: optimized geometry

Properties
Relative energy among the computed polymorphs = 0.415 eV per atom
Energy of formation = 483 meV/atom

Lattice parameters (Å, degrees): 7.8412 7.8412 7.8412 90.00 90.00 90.00
Closest atoms and distances in Å follow each position.
Space group Fm-3m (No. 225)
Asymmetric unit:
Rb (0.0000, 0.0000, 0.0000) x4  8 Pb 3.40
Hf (0.0000, 0.0000, 0.5000) x4  8 Pb 3.40
Pb (0.2500, 0.2500, 0.2500) x8  4 Hf 3.40, 4 Rb 3.40

***

Material: Rb2Hf2Pb
Method: DFT, GGA-PBE
State: optimized geometry

Properties
Relative energy among the computed polymorphs = 0.036 eV per atom
Energy of formation = 1171 meV/atom

Lattice parameters (Å, degrees): 11.1638 11.1638 3.2169 90.00 90.00 90.00
Closest atoms and distances in Å follow each position.
Space group P4/mbm (No. 127)
Asymmetric unit:
Rb (0.2063, 0.2937, 0.0000) x4  2 Rb 3.22
Hf (0.0823, 0.5823, 0.5000) x4  1 Hf 2.60
Pb (0.0000, 0.0000, 0.5000) x2  2 Pb 3.22

***

Material: RbHfPb2
Method: DFT, GGA-PBE
State: optimized geometry

Properties
Relative energy among the computed polymorphs = 0.157 eV per atom
Energy of formation = 225 meV/atom

Lattice parameters (Å, degrees): 3.4743 3.4743 36.3946 90.00 90.00 120.00
Closest atoms and distances in Å follow each position.
Space group R-3m (No. 166, hexagonal axes)
Asymmetric unit:
Rb (0.0000, 0.0000, 0.0000) x3  6 Rb 3.47, 2 Pb 3.54
Hf (0.0000, 0.0000, 0.5000) x3  6 Pb 3.22, 6 Hf 3.47
Pb (0.0000, 0.0000, 0.0973) x6  3 Hf 3.22, 6 Pb 3.47, 1 Rb 3.54

***

Material: RbHf2Pb2
Method: DFT, GGA-PBE
State: optimized geometry

Properties
Relative energy among the computed polymorphs = 0.289 eV per atom
Energy of formation = 495 meV/atom

Lattice parameters (Å, degrees): 5.5909 5.5909 10.6312 90.00 90.00 90.00
Closest atoms and distances in Å follow each position.
Space group I4/mmm (No. 139)
Asymmetric unit:
Rb (0.0000, 0.0000, 0.0000) x2  2 Hf 3.63, 8 Pb 3.86
Hf (0.0000, 0.0000, 0.3416) x4  4 Pb 2.96
Pb (0.0000, 0.5000, 0.2500) x4  4 Hf 2.96

***

Material: Rb3HfPb
Method: DFT, GGA-PBE
State: optimized geometry

Properties
Relative energy among the computed polymorphs = 0.000 eV per atom
Energy of formation = 1189 meV/atom

Lattice parameters (Å, degrees): 7.0415 7.0415 7.0415 90.00 90.00 90.00
Closest atoms and distances in Å follow each position.
Space group Pm-3m (No. 221)
Asymmetric unit:
Rb (0.0000, 0.0000, 0.5000) x3  2 Pb 3.52
Hf (0.5000, 0.5000, 0.5000) x1  12 Rb 4.98
Pb (0.0000, 0.0000, 0.0000) x1  6 Rb 3.52

***

Material: RbHf2Pb
Method: DFT, GGA-PBE
State: optimized geometry

Properties
Energy of formation = 1029 meV/atom

Lattice parameters (Å, degrees): 5.0140 5.0140 21.6038 90.00 90.00 90.00
Closest atoms and distances in Å follow each position.
Space group I-42d (No. 122)
Asymmetric unit:
Rb (0.0000, 0.0000, 0.0000) x4  4 Hf 3.52, 4 Pb 3.55
Hf (0.1245, 0.2500, 0.6250) x8  2 Hf 2.80, 2 Pb 3.04
Pb (0.0000, 0.0000, 0.5000) x4  4 Hf 3.04

***

Material: RbHfPb2
Method: DFT, GGA-PBE
State: optimized geometry

Properties
Relative energy among the computed polymorphs = 0.338 eV per atom
Energy of formation = 406 meV/atom

Lattice parameters (Å, degrees): 6.5845 6.5845 18.2703 90.00 90.00 90.00
Closest atoms and distances in Å follow each position.
Space group I-42d (No. 122)
Asymmetric unit:
Rb (0.0000, 0.0000, 0.0000) x4  4 Pb 4.07
Hf (0.0000, 0.0000, 0.5000) x4  4 Pb 2.84
Pb (0.0533, 0.2500, 0.6250) x8  2 Hf 2.84

***

Material: RbHfPb2
Method: DFT, GGA-PBE
State: optimized geometry

Properties
Relative energy among the computed polymorphs = 0.000 eV per atom
Energy of formation = 68 meV/atom

Lattice parameters (Å, degrees): 3.8876 3.8876 8.4894 90.00 90.00 90.00
Closest atoms and distances in Å follow each position.
Space group P4/mmm (No. 123)
Asymmetric unit:
Rb (0.0000, 0.0000, 0.0000) x1  8 Pb 3.84, 4 Rb 3.89, 2 Hf 4.24
Hf (0.0000, 0.0000, 0.5000) x1  8 Pb 3.16
Pb (0.5000, 0.5000, 0.3162) x2  1 Pb 3.12, 4 Hf 3.16

***

Material: Rb2Hf2Pb
Method: DFT, GGA-PBE
State: optimized geometry

Properties
Relative energy among the computed polymorphs = 0.000 eV per atom
Energy of formation = 1135 meV/atom

Lattice parameters (Å, degrees): 4.3875 4.3875 17.5724 90.00 90.00 90.00
Closest atoms and distances in Å follow each position.
Space group I4/mmm (No. 139)
Asymmetric unit:
Rb (0.0000, 0.5000, 0.2500) x4  4 Rb 3.10
Hf (0.0000, 0.0000, 0.0719) x4  1 Hf 2.53
Pb (0.0000, 0.0000, 0.5000) x2  8 Hf 3.35

***

Material: RbHf3Pb
Method: DFT, GGA-PBE
State: optimized geometry

Properties
Relative energy among the computed polymorphs = 0.000 eV per atom
Energy of formation = 1527 meV/atom

Lattice parameters (Å, degrees): 5.5674 5.5674 5.5674 90.00 90.00 90.00
Closest atoms and distances in Å follow each position.
Space group Pm-3m (No. 221)
Asymmetric unit:
Rb (0.0000, 0.0000, 0.0000) x1  12 Hf 3.94
Hf (0.0000, 0.5000, 0.5000) x3  2 Pb 2.78
Pb (0.5000, 0.5000, 0.5000) x1  6 Hf 2.78

***

Material: RbHf3Pb
Method: DFT, GGA-PBE
State: optimized geometry

Properties
Relative energy among the computed polymorphs = 0.693 eV per atom
Energy of formation = 2220 meV/atom

Lattice parameters (Å, degrees): 5.1018 5.1018 5.1018 90.00 90.00 90.00
Closest atoms and distances in Å follow each position.
Space group Pm-3m (No. 221)
Asymmetric unit:
Rb (0.0000, 0.0000, 0.0000) x1  6 Hf 2.55
Hf (0.0000, 0.0000, 0.5000) x3  2 Rb 2.55
Pb (0.5000, 0.5000, 0.5000) x1  12 Hf 3.61

***

Material: RbHf2RhPb
Method: DFT, GGA-PBE
State: optimized geometry

Properties
Energy of formation = 1356 meV/atom

Lattice parameters (Å, degrees): 5.5158 5.5158 5.1890 90.00 90.00 90.00
Closest atoms and distances in Å follow each position.
Space group P4/mmm (No. 123)
Asymmetric unit:
Rb (0.0000, 0.0000, 0.0000) x1  8 Hf 3.79, 4 Rh 3.90
Hf (0.0000, 0.5000, 0.5000) x2  2 Pb 2.76
Rh (0.5000, 0.5000, 0.0000) x1  2 Pb 2.59
Pb (0.5000, 0.5000, 0.5000) x1  2 Rh 2.59, 4 Hf 2.76

***

Material: RbSrHf2Pb
Method: DFT, GGA-PBE
State: optimized geometry

Properties
Energy of formation = 1576 meV/atom

Lattice parameters (Å, degrees): 5.5795 5.5795 6.1534 90.00 90.00 90.00
Closest atoms and distances in Å follow each position.
Space group P4/mmm (No. 123)
Asymmetric unit:
Rb (0.0000, 0.0000, 0.0000) x1  4 Pb 3.95, 8 Hf 4.15
Sr (0.5000, 0.5000, 0.5000) x1  4 Hf 2.79, 2 Pb 3.08
Hf (0.0000, 0.5000, 0.5000) x2  2 Sr 2.79
Pb (0.5000, 0.5000, 0.0000) x1  2 Sr 3.08

***

Material: Rb2HfTcPb
Method: DFT, GGA-PBE
State: optimized geometry

Properties
Energy of formation = 1790 meV/atom

Lattice parameters (Å, degrees): 6.8257 6.8257 5.2066 90.00 90.00 90.00
Closest atoms and distances in Å follow each position.
Space group P4/mmm (No. 123)
Asymmetric unit:
Rb (0.0000, 0.5000, 0.0000) x2  2 Pb 3.41
Hf (0.0000, 0.0000, 0.5000) x1  8 Rb 4.29
Tc (0.5000, 0.5000, 0.5000) x1  2 Pb 2.60
Pb (0.5000, 0.5000, 0.0000) x1  2 Tc 2.60

***

Material: Rb3HfTe6Pb2
Method: DFT, GGA-PBE
State: optimized geometry

Properties
Raw formation energy = -0.752 eV per atom

Lattice parameters (Å, degrees): 7.9284 13.7366 8.8977 90.00 107.36 90.00
Closest atoms and distances in Å follow each position.
Space group C2/m (No. 12)
Asymmetric unit:
Rb (0.0000, 0.0000, 0.0000) x2  6 Te 3.62-3.87
Rb (0.0000, 0.3236, 0.0000) x4  6 Te 3.63-3.78
Hf (0.0000, 0.5000, 0.5000) x2  6 Te 2.93
Te (0.2168, 0.3482, 0.6961) x8  1 Hf 2.93, 2 Pb 3.23-3.25
Te (0.2345, 0.5000, 0.3006) x4  1 Hf 2.93, 2 Pb 3.24
Pb (0.0000, 0.1651, 0.5000) x4  6 Te 3.23-3.25

***

Material: RbHfTlPb2
Method: DFT, GGA-PBE
State: optimized geometry

Properties
Energy of formation = 1145 meV/atom

Lattice parameters (Å, degrees): 5.8340 5.8340 6.1364 90.00 90.00 90.00
Closest atoms and distances in Å follow each position.
Space group P4/mmm (No. 123)
Asymmetric unit:
Rb (0.0000, 0.0000, 0.0000) x1  2 Tl 3.07
Hf (0.5000, 0.5000, 0.0000) x1  4 Rb 4.13, 8 Pb 4.23
Tl (0.0000, 0.0000, 0.5000) x1  4 Pb 2.92, 2 Rb 3.07
Pb (0.0000, 0.5000, 0.5000) x2  2 Tl 2.92

***

Material: Hf3RePb
Method: DFT, GGA-PBE
State: optimized geometry

Properties
Relative energy among the computed polymorphs = 1.551 eV per atom
Energy of formation = 2058 meV/atom

Lattice parameters (Å, degrees): 5.1784 5.1784 5.1784 90.00 90.00 90.00
Closest atoms and distances in Å follow each position.
Space group Pm-3m (No. 221)
Asymmetric unit:
Hf (0.0000, 0.0000, 0.5000) x3  2 Pb 2.59
Re (0.5000, 0.5000, 0.5000) x1  12 Hf 3.66
Pb (0.0000, 0.0000, 0.0000) x1  6 Hf 2.59

***

Material: HfRePb2
Method: DFT, GGA-PBE
State: optimized geometry

Properties
Relative energy among the computed polymorphs = 0.258 eV per atom
Energy of formation = 905 meV/atom

Lattice parameters (Å, degrees): 7.9961 7.9961 5.9317 90.00 90.00 90.00
Closest atoms and distances in Å follow each position.
Space group I-42d (No. 122)
Asymmetric unit:
Hf (0.0000, 0.0000, 0.0000) x4  2 Re 2.97, 4 Pb 3.06
Re (0.0000, 0.0000, 0.5000) x4  4 Pb 2.79, 2 Hf 2.97
Pb (0.2249, 0.2500, 0.6250) x8  2 Re 2.79, 2 Pb 2.99, 2 Hf 3.06

***

Material: Hf3RePb
Method: DFT, GGA-PBE
State: optimized geometry

Properties
Relative energy among the computed polymorphs = 0.000 eV per atom
Energy of formation = 507 meV/atom

Lattice parameters (Å, degrees): 5.0665 5.0665 5.0665 90.00 90.00 90.00
Closest atoms and distances in Å follow each position.
Space group Pm-3m (No. 221)
Asymmetric unit:
Hf (0.0000, 0.0000, 0.5000) x3  2 Re 2.53
Re (0.0000, 0.0000, 0.0000) x1  6 Hf 2.53
Pb (0.5000, 0.5000, 0.5000) x1  12 Hf 3.58

***

Material: Hf6RePb2
Method: DFT, GGA-PBE
State: optimized geometry

Properties
Energy of formation = -124 meV/atom

Lattice parameters (Å, degrees): 8.1300 8.1300 3.4903 90.00 90.00 120.00
Closest atoms and distances in Å follow each position.
Space group P-62m (No. 189)
Asymmetric unit:
Hf (0.0000, 0.3718, 0.0000) x3  1 Re 3.02, 4 Pb 3.10, 4 Hf 3.19
Hf (0.0000, 0.7471, 0.5000) x3  2 Re 2.70
Re (0.0000, 0.0000, 0.0000) x1  6 Hf 2.70
Pb (0.3333, 0.6667, 0.5000) x2  9 Hf 3.09-3.10

***

Material: HfRePb3
Method: DFT, GGA-PBE
State: optimized geometry

Properties
Relative energy among the computed polymorphs = 0.432 eV per atom
Energy of formation = 1583 meV/atom

Lattice parameters (Å, degrees): 5.5930 5.5930 5.5930 90.00 90.00 90.00
Closest atoms and distances in Å follow each position.
Space group Pm-3m (No. 221)
Asymmetric unit:
Hf (0.0000, 0.0000, 0.0000) x1  6 Pb 2.80
Re (0.5000, 0.5000, 0.5000) x1  12 Pb 3.95
Pb (0.0000, 0.0000, 0.5000) x3  2 Hf 2.80

***

Material: HfRePb2
Method: DFT, GGA-PBE
State: optimized geometry

Properties
Relative energy among the computed polymorphs = 0.000 eV per atom
Energy of formation = 647 meV/atom

Lattice parameters (Å, degrees): 6.9407 6.9407 6.9407 90.00 90.00 90.00
Closest atoms and distances in Å follow each position.
Space group Fm-3m (No. 225)
Asymmetric unit:
Hf (0.0000, 0.0000, 0.0000) x4  8 Pb 3.01
Re (0.0000, 0.0000, 0.5000) x4  8 Pb 3.01
Pb (0.2500, 0.2500, 0.2500) x8  4 Hf 3.01, 4 Re 3.01

***

Material: HfRePb3
Method: DFT, GGA-PBE
State: optimized geometry

Properties
Relative energy among the computed polymorphs = 0.000 eV per atom
Energy of formation = 1151 meV/atom

Lattice parameters (Å, degrees): 5.2978 5.2978 5.2978 90.00 90.00 90.00
Closest atoms and distances in Å follow each position.
Space group Pm-3m (No. 221)
Asymmetric unit:
Hf (0.0000, 0.0000, 0.0000) x1  12 Pb 3.75
Re (0.5000, 0.5000, 0.5000) x1  6 Pb 2.65
Pb (0.0000, 0.5000, 0.5000) x3  2 Re 2.65